Entry 1:
DFT (PBE) results for crystalline TbInTe3Pb at its relaxed geometry.

Unit cell a=4.475 b=15.142 c=11.069 alpha=90.00 beta=90.00 gamma=90.00
Space group Cmcm (No. 63)
Inequivalent atoms, fractional coordinates:
Tb (0.000, 0.000, 0.000) [4 per cell]
In (0.000, 0.473, 0.250) [4 per cell]
Te (0.000, 0.110, 0.250) [4 per cell]
Te (0.000, 0.354, 0.033) [8 per cell]
Pb (0.000, 0.228, 0.750) [4 per cell]

Computed properties:
Magnetization ... 0.00 μB/atom

***

Entry 2:
DFT (PBE) results for crystalline SmSbIr at its relaxed geometry.

Unit cell a=4.5937 b=4.5937 c=7.4021 alpha=90.00 beta=90.00 gamma=120.00
Space group P6_3mc (No. 186)
Inequivalent atoms, fractional coordinates:
Sm (0.0000, 0.0000, 0.0000) [2 per cell]
Sb (0.3333, 0.6667, 0.2267) [2 per cell]
Ir (0.3333, 0.6667, 0.8115) [2 per cell]

Computed properties:
Magnetization ... 0.00 μB/atom

***

Entry 3:
DFT (PBE) results for crystalline PmAuSeO at its relaxed geometry.

Unit cell a=7.321 b=6.358 c=6.326 alpha=90.00 beta=90.38 gamma=90.00
Space group P2_1/c (No. 14)
Inequivalent atoms, fractional coordinates:
Pm (0.116, 0.006, 0.252) [4 per cell]
Au (0.444, 0.210, 0.513) [4 per cell]
Se (0.306, 0.520, 0.299) [4 per cell]
O (0.008, 0.742, 0.000) [4 per cell]

Computed properties:
Magnetization ... 0.00 μB/atom

***

Entry 4:
DFT (PBE) results for crystalline ZnBiAs at its relaxed geometry.

Unit cell a=6.868 b=6.868 c=6.868 alpha=90.00 beta=90.00 gamma=90.00
Space group F-43m (No. 216)
Inequivalent atoms, fractional coordinates:
Zn (0.000, 0.000, 0.000) [4 per cell]
Bi (0.000, 0.000, 0.500) [4 per cell]
As (0.250, 0.250, 0.750) [4 per cell]

***

Entry 5:
DFT (PBE) results for crystalline CuGeW at its relaxed geometry.

Unit cell a=5.949 b=5.949 c=5.949 alpha=90.00 beta=90.00 gamma=90.00
Space group F-43m (No. 216)
Inequivalent atoms, fractional coordinates:
Cu (0.000, 0.000, 0.000) [4 per cell]
Ge (0.000, 0.000, 0.500) [4 per cell]
W (0.250, 0.250, 0.250) [4 per cell]

Computed properties:
Magnetization ... 0.38 μB/atom

***

Entry 6:
DFT (PBE) results for crystalline Cs2BiOsO6 at its relaxed geometry.

Unit cell a=8.568 b=8.568 c=8.568 alpha=90.00 beta=90.00 gamma=90.00
Space group Fm-3m (No. 225)
Inequivalent atoms, fractional coordinates:
Cs (0.250, 0.250, 0.250) [8 per cell]
Bi (0.000, 0.000, 0.000) [4 per cell]
Os (0.000, 0.000, 0.500) [4 per cell]
O (0.000, 0.000, 0.277) [24 per cell]

Computed properties:
Magnetization ... 0.10 μB/atom

***

Entry 7:
DFT (PBE) results for crystalline Sc4ZnPC2 at its relaxed geometry.

Unit cell a=3.3738 b=3.3738 c=13.4259 alpha=90.00 beta=90.00 gamma=120.00
Space group P-6m2 (No. 187)
Inequivalent atoms, fractional coordinates:
Sc (0.0000, 0.0000, 0.1389) [2 per cell]
Sc (0.6667, 0.3333, 0.3228) [2 per cell]
Zn (0.0000, 0.0000, 0.5000) [1 per cell]
P (0.6667, 0.3333, 0.0000) [1 per cell]
C (0.3333, 0.6667, 0.2367) [2 per cell]

Computed properties:
Magnetization ... 0.14 μB/atom

***

Entry 8:
DFT (PBE) results for crystalline Tm5Lu2Ni2Te2 at its relaxed geometry.

Unit cell a=3.803 b=15.302 c=9.444 alpha=90.00 beta=90.00 gamma=90.00
Space group Imm2 (No. 44)
Inequivalent atoms, fractional coordinates:
Tm (0.000, 0.000, 0.000) [2 per cell]
Tm (0.000, 0.134, 0.419) [4 per cell]
Tm (0.000, 0.315, 0.624) [4 per cell]
Lu (0.000, 0.354, 0.273) [4 per cell]
Ni (0.000, 0.236, 0.930) [4 per cell]
Te (0.000, 0.000, 0.663) [2 per cell]
Te (0.000, 0.500, 0.767) [2 per cell]

Computed properties:
Magnetization ... 0.00 μB/atom

***

The following energy values (in eV/atom) correspond, in order, to the records above: -3.998 -6.683 -5.775 -3.091 -6.289 -5.864 -6.909 -5.115.